[1]
Entry from Alexandria via LeMat-Bulk: crystalline InRe4Au at its relaxed geometry (GGA-PBE).

Structure (CIF):
```
data_InRe4Au
_space_group_name_H-M_alt 'F -4 3 m'
_space_group_IT_number 216
_space_group_name_Hall 'F -4 2 3'
_cell_length_a 7.455
_cell_length_b 7.455
_cell_length_c 7.455
_cell_angle_alpha 90.00
_cell_angle_beta 90.00
_cell_angle_gamma 90.00
loop_
_atom_site_label
_atom_site_type_symbol
_atom_site_fract_x
_atom_site_fract_y
_atom_site_fract_z
In1 In 0.000 0.000 0.000
Re1 Re 0.124 0.124 0.624
Au1 Au 0.250 0.250 0.250
```

Summary:
As for the total energy: -207.4 eV per cell. The value obtained for the total magnetic moment is 0.0 μB/f.u. As for the energy of formation: 659 meV per atom.


[2]
Entry from Alexandria via LeMat-Bulk: crystalline InReAu4 at its relaxed geometry (GGA-PBE).

Structure (CIF):
```
data_InReAu4
_space_group_name_H-M_alt 'F -4 3 m'
_space_group_IT_number 216
_space_group_name_Hall 'F -4 2 3'
_cell_length_a 7.794
_cell_length_b 7.794
_cell_length_c 7.794
_cell_angle_alpha 90.00
_cell_angle_beta 90.00
_cell_angle_gamma 90.00
loop_
_atom_site_label
_atom_site_type_symbol
_atom_site_fract_x
_atom_site_fract_y
_atom_site_fract_z
In1 In 0.000 0.000 0.000
Re1 Re 0.250 0.250 0.750
Au1 Au 0.125 0.125 0.375
```

Summary:
As for the total energy: -97.2 eV per cell. The value obtained for the total magnetic moment is 3.8 μB/f.u. As for the energy of formation: 666 meV per atom.


Question: energy of formation of number 1 (InRe4Au)?
Answer: 659 meV per atom


Question: Look up the total magnetic moment of the first one.
Answer: 0.0 μB/f.u.


Copy entry 2 word for word.
Entry from Alexandria via LeMat-Bulk: crystalline InReAu4 at its relaxed geometry (GGA-PBE).

Structure (CIF):
```
data_InReAu4
_space_group_name_H-M_alt 'F -4 3 m'
_space_group_IT_number 216
_space_group_name_Hall 'F -4 2 3'
_cell_length_a 7.794
_cell_length_b 7.794
_cell_length_c 7.794
_cell_angle_alpha 90.00
_cell_angle_beta 90.00
_cell_angle_gamma 90.00
loop_
_atom_site_label
_atom_site_type_symbol
_atom_site_fract_x
_atom_site_fract_y
_atom_site_fract_z
In1 In 0.000 0.000 0.000
Re1 Re 0.250 0.250 0.750
Au1 Au 0.125 0.125 0.375
```

Summary:
As for the total energy: -97.2 eV per cell. The value obtained for the total magnetic moment is 3.8 μB/f.u. As for the energy of formation: 666 meV per atom.